No. 1
A plane-wave DFT calculation with PBE-GGA was carried out for a relaxed structure of Pt3I8Br2.

The space group is C2/m (No. 12) and the conventional cell measures 17.604, 8.108 and 6.959 Å, with angles of 90.00, 104.03 and 90.00 degrees. The inequivalent atoms are Pt at (0.000, 0.000, 0.000), Pt at (0.000, 0.268, 0.500), I at (0.084, 0.244, 0.871), I at (0.096, 0.000, 0.371), I at (0.100, 0.500, 0.413) and Br at (0.243, 0.500, 0.263).

For the density of states at the Fermi level, the calculation gives 10.95 states/eV per cell. As for the calculated total energy: -2.6531 eV/atom. The value obtained for the magnetic moment is 0.00 μB per formula unit.


No. 2
A plane-wave DFT calculation with PBE-GGA was carried out for a relaxed structure of Pt2IBr.

The space group is I-42d (No. 122) and the conventional cell measures 6.205, 6.205 and 11.440 Å, with angles of 90.00, 90.00 and 90.00 degrees. The inequivalent atoms are Pt at (0.243, 0.250, 0.125), I at (0.000, 0.000, 0.000) and Br at (0.000, 0.000, 0.500).

For the density of states at the Fermi level, the calculation gives 18.82 states/eV per cell. As for the relative energy among the computed polymorphs: 0 meV/atom. The value obtained for the magnetic moment is 0.00 μB per formula unit.


No. 3
A plane-wave DFT calculation with PBE-GGA was carried out for a relaxed structure of Pt2IBr2.

The space group is P4/mbm (No. 127) and the conventional cell measures 11.921, 11.921 and 3.009 Å, with angles of 90.00, 90.00 and 90.00 degrees. The inequivalent atoms are Pt at (0.075, 0.425, 0.000), I at (0.000, 0.000, 0.500) and Br at (0.187, 0.313, 0.500).

For the density of states at the Fermi level, the calculation gives 14.54 states/eV per cell. As for the relative energy among the computed polymorphs: 20 meV/atom. The value obtained for the magnetic moment is 0.00 μB per formula unit.


No. 4
A plane-wave DFT calculation with PBE-GGA was carried out for a relaxed structure of PtIBr.

The space group is Imma (No. 74) and the conventional cell measures 6.861, 7.482 and 6.514 Å, with angles of 90.00, 90.00 and 90.00 degrees. The inequivalent atoms are Pt at (0.250, 0.250, 0.250), I at (0.000, 0.000, 0.000) and Br at (0.000, 0.250, 0.515).

For the density of states at the Fermi level, the calculation gives 4.85 states/eV per cell. As for the relative energy among the computed polymorphs: 160 meV/atom. The value obtained for the magnetic moment is 0.00 μB per formula unit.


No. 5
A plane-wave DFT calculation with PBE-GGA was carried out for a relaxed structure of PtI2Br.

The space group is I-42d (No. 122) and the conventional cell measures 8.220, 8.220 and 7.379 Å, with angles of 90.00, 90.00 and 90.00 degrees. The inequivalent atoms are Pt at (0.000, 0.000, 0.000), I at (0.166, 0.750, 0.125) and Br at (0.000, 0.000, 0.500).

For the density of states at the Fermi level, the calculation gives 22.05 states/eV per cell. As for the relative energy among the computed polymorphs: 310 meV/atom. The value obtained for the magnetic moment is 0.00 μB per formula unit.


No. 6
A plane-wave DFT calculation with PBE-GGA was carried out for a relaxed structure of PtI2Br.

The space group is Fm-3m (No. 225) and the conventional cell measures 7.385, 7.385 and 7.385 Å, with angles of 90.00, 90.00 and 90.00 degrees. The inequivalent atoms are Pt at (0.000, 0.000, 0.000), I at (0.250, 0.250, 0.250) and Br at (0.000, 0.000, 0.500).

For the density of states at the Fermi level, the calculation gives 17.20 states/eV per cell. As for the relative energy among the computed polymorphs: 845 meV/atom. The value obtained for the magnetic moment is 0.00 μB per formula unit.


No. 7
A plane-wave DFT calculation with PBE-GGA was carried out for a relaxed structure of PtI2Br6.

The space group is C2/c (No. 15) and the conventional cell measures 17.845, 13.283 and 8.839 Å, with angles of 90.00, 113.06 and 90.00 degrees. The inequivalent atoms are Pt at (0.000, 0.108, 0.250), I at (0.136, 0.500, 0.228), Br at (0.103, 0.108, 0.138), Br at (0.104, 0.108, 0.524) and Br at (0.137, 0.379, 0.479).

For the density of states at the Fermi level, the calculation gives 26.94 states/eV per cell. As for the calculated total energy: -2.1568 eV/atom. The value obtained for the magnetic moment is 0.00 μB per formula unit.


No. 8
A plane-wave DFT calculation with PBE-GGA was carried out for a relaxed structure of Pt2I4Br3.

The space group is C2/c (No. 15) and the conventional cell measures 12.265, 18.197 and 6.722 Å, with angles of 90.00, 107.29 and 90.00 degrees. The inequivalent atoms are Pt at (0.176, 0.173, 0.310), I at (0.137, 0.250, 0.609), I at (0.225, 0.092, 0.031), Br at (0.000, 0.098, 0.250) and Br at (0.069, 0.407, 0.152).

For the density of states at the Fermi level, the calculation gives 32.03 states/eV per cell. As for the calculated total energy: -2.6365 eV/atom. The value obtained for the magnetic moment is 0.00 μB per formula unit.


No. 9
A plane-wave DFT calculation with PBE-GGA was carried out for a relaxed structure of Pt2IBr.

The space group is Fm-3m (No. 225) and the conventional cell measures 6.908, 6.908 and 6.908 Å, with angles of 90.00, 90.00 and 90.00 degrees. The inequivalent atoms are Pt at (0.250, 0.250, 0.250), I at (0.000, 0.000, 0.000) and Br at (0.000, 0.000, 0.500).

For the density of states at the Fermi level, the calculation gives 8.54 states/eV per cell. As for the relative energy among the computed polymorphs: 328 meV/atom. The value obtained for the magnetic moment is 0.00 μB per formula unit.


No. 10
A plane-wave DFT calculation with PBE-GGA was carried out for a relaxed structure of PtI6Br.

The space group is P-1 (No. 2) and the conventional cell measures 6.481, 7.909 and 8.590 Å, with angles of 116.41, 107.77 and 93.23 degrees. The inequivalent atoms are Pt at (0.000, 0.000, 0.000), I at (0.064, 0.873, 0.250), I at (0.267, 0.765, 0.836), I at (0.299, 0.333, 0.241) and Br at (0.500, 0.000, 0.500).

For the density of states at the Fermi level, the calculation gives 4.55 states/eV per cell. As for the calculated total energy: -2.1727 eV/atom. The value obtained for the magnetic moment is 0.00 μB per formula unit.


No. 11
A plane-wave DFT calculation with PBE-GGA was carried out for a relaxed structure of PtI2Br5.

The space group is P1 (No. 1) and the conventional cell measures 7.803, 7.967 and 8.469 Å, with angles of 68.24, 66.28 and 64.05 degrees. The inequivalent atoms are Pt at (0.000, 0.000, 0.000), I at (0.222, 0.465, 0.845), I at (0.847, 0.887, 0.550), Br at (0.159, 0.214, 0.740), Br at (0.307, 0.724, 0.913), Br at (0.739, 0.277, 0.111), Br at (0.765, 0.031, 0.818) and Br at (0.864, 0.777, 0.264).

For the density of states at the Fermi level, the calculation gives 3.45 states/eV per cell. As for the calculated total energy: -2.2635 eV/atom. The value obtained for the magnetic moment is 0.90 μB per formula unit.


No. 12
A plane-wave DFT calculation with PBE-GGA was carried out for a relaxed structure of PtIBr.

The space group is P1 (No. 1) and the conventional cell measures 3.765, 5.173 and 6.902 Å, with angles of 94.30, 105.82 and 110.51 degrees. The inequivalent atoms are Pt at (0.000, 0.000, 0.000), I at (0.697, 0.134, 0.266) and Br at (0.314, 0.872, 0.751).

As for the relative energy among the computed polymorphs: 0 meV/atom. The value obtained for the magnetic moment is 0.00 μB per formula unit.


No. 13
A plane-wave DFT calculation with PBE-GGA was carried out for a relaxed structure of PtI2Br.

The space group is P2_1/m (No. 11) and the conventional cell measures 7.975, 3.972 and 8.562 Å, with angles of 90.00, 114.23 and 90.00 degrees. The inequivalent atoms are Pt at (0.214, 0.250, 0.017), I at (0.030, 0.750, 0.809), I at (0.434, 0.750, 0.197) and Br at (0.241, 0.750, 0.550).

For the density of states at the Fermi level, the calculation gives 3.99 states/eV per cell. As for the relative energy among the computed polymorphs: 105 meV/atom. The value obtained for the magnetic moment is 0.00 μB per formula unit.


No. 14
A plane-wave DFT calculation with PBE-GGA was carried out for a relaxed structure of PtI2Br.

The space group is P2_1/c (No. 14) and the conventional cell measures 6.839, 6.692 and 13.902 Å, with angles of 90.00, 110.45 and 90.00 degrees. The inequivalent atoms are Pt at (0.220, 0.024, 0.440), I at (0.126, 0.719, 0.068), I at (0.478, 0.734, 0.908) and Br at (0.250, 0.246, 0.302).

For the density of states at the Fermi level, the calculation gives 1.84 states/eV per cell. As for the relative energy among the computed polymorphs: 0 meV/atom. The value obtained for the magnetic moment is 0.00 μB per formula unit.


No. 15
A plane-wave DFT calculation with PBE-GGA was carried out for a relaxed structure of Pt2IBr2.

The space group is I4/mmm (No. 139) and the conventional cell measures 3.727, 3.727 and 22.685 Å, with angles of 90.00, 90.00 and 90.00 degrees. The inequivalent atoms are Pt at (0.000, 0.500, 0.250), I at (0.000, 0.000, 0.000) and Br at (0.000, 0.000, 0.342).

For the density of states at the Fermi level, the calculation gives 8.04 states/eV per cell. As for the relative energy among the computed polymorphs: 0 meV/atom. The value obtained for the magnetic moment is 0.00 μB per formula unit.


No. 16
A plane-wave DFT calculation with PBE-GGA was carried out for a relaxed structure of PtIBr.

The space group is P3m1 (No. 156) and the conventional cell measures 4.0606, 4.0606 and 6.4489 Å, with angles of 90.00, 90.00 and 120.00 degrees. The inequivalent atoms are Pt at (0.0000, 0.0000, 0.0000), I at (0.6667, 0.3333, 0.2260) and Br at (0.3333, 0.6667, 0.7759).

For the density of states at the Fermi level, the calculation gives 2.98 states/eV per cell. As for the relative energy among the computed polymorphs: 239 meV/atom. The value obtained for the magnetic moment is 1.68 μB per formula unit.


No. 17
A plane-wave DFT calculation with PBE-GGA was carried out for a relaxed structure of Pt2I3Br4.

The space group is C2/c (No. 15) and the conventional cell measures 18.591, 13.835 and 7.216 Å, with angles of 90.00, 111.90 and 90.00 degrees. The inequivalent atoms are Pt at (0.106, 0.067, 0.154), I at (0.000, 0.045, 0.750), I at (0.222, 0.165, 0.111), Br at (0.057, 0.233, 0.155) and Br at (0.168, 0.081, 0.586).

For the density of states at the Fermi level, the calculation gives 9.04 states/eV per cell. As for the calculated total energy: -2.6460 eV/atom. The value obtained for the magnetic moment is 1.02 μB per formula unit.


No. 18
A plane-wave DFT calculation with PBE-GGA was carried out for a relaxed structure of RbPtI2Br.

The space group is P4/mmm (No. 123) and the conventional cell measures 5.617, 5.617 and 5.349 Å, with angles of 90.00, 90.00 and 90.00 degrees. The inequivalent atoms are Rb at (0.000, 0.000, 0.000), Pt at (0.500, 0.500, 0.500), I at (0.000, 0.500, 0.500) and Br at (0.500, 0.500, 0.000).

For the density of states at the Fermi level, the calculation gives 2.50 states/eV per cell. As for the calculated total energy: -2.9900 eV/atom. The value obtained for the magnetic moment is 0.00 μB per formula unit.


No. 19
A plane-wave DFT calculation with PBE-GGA was carried out for a relaxed structure of RbPtIBr2.

The space group is P4/mmm (No. 123) and the conventional cell measures 5.331, 5.331 and 5.565 Å, with angles of 90.00, 90.00 and 90.00 degrees. The inequivalent atoms are Rb at (0.000, 0.000, 0.000), Pt at (0.500, 0.500, 0.500), I at (0.500, 0.500, 0.000) and Br at (0.000, 0.500, 0.500).

For the density of states at the Fermi level, the calculation gives 2.30 states/eV per cell. As for the calculated total energy: -3.0694 eV/atom. The value obtained for the magnetic moment is 0.00 μB per formula unit.


No. 20
A plane-wave DFT calculation with PBE-GGA was carried out for a relaxed structure of RbPtIBr6.

The space group is P312 (No. 149) and the conventional cell measures 8.0839, 8.0839 and 6.7029 Å, with angles of 90.00, 90.00 and 120.00 degrees. The inequivalent atoms are Rb at (0.0000, 0.0000, 0.0000), Pt at (0.6667, 0.3333, 0.5000), I at (0.3333, 0.6667, 0.5000) and Br at (0.4153, 0.0784, 0.7153).

For the density of states at the Fermi level, the calculation gives 0.40 states/eV per cell. As for the calculated total energy: -2.4580 eV/atom. The value obtained for the magnetic moment is 2.08 μB per formula unit.


No. 21
A plane-wave DFT calculation with PBE-GGA was carried out for a relaxed structure of Rb2PtI4Br2.

The space group is I4/mmm (No. 139) and the conventional cell measures 8.011, 8.011 and 11.233 Å, with angles of 90.00, 90.00 and 90.00 degrees. The inequivalent atoms are Rb at (0.000, 0.500, 0.250), Pt at (0.000, 0.000, 0.000), I at (0.239, 0.239, 0.000) and Br at (0.000, 0.000, 0.224).

As for the calculated total energy: -2.7862 eV/atom. The value obtained for the magnetic moment is 0.00 μB per formula unit.


No. 22
A plane-wave DFT calculation with PBE-GGA was carried out for a relaxed structure of PtSeIBr2.

The space group is P4/mmm (No. 123) and the conventional cell measures 5.165, 5.165 and 5.047 Å, with angles of 90.00, 90.00 and 90.00 degrees. The inequivalent atoms are Pt at (0.000, 0.000, 0.000), Se at (0.000, 0.000, 0.500), I at (0.500, 0.500, 0.500) and Br at (0.000, 0.500, 0.000).

For the density of states at the Fermi level, the calculation gives 5.48 states/eV per cell. As for the relative energy among the computed polymorphs: 0 meV/atom. The value obtained for the magnetic moment is 0.00 μB per formula unit.


No. 23
A plane-wave DFT calculation with PBE-GGA was carried out for a relaxed structure of Sr6Pt2I3Br.

The space group is C2/m (No. 12) and the conventional cell measures 7.873, 13.663 and 8.624 Å, with angles of 90.00, 107.80 and 90.00 degrees. The inequivalent atoms are Sr at (0.206, 0.000, 0.199), Sr at (0.247, 0.319, 0.202), Pt at (0.000, 0.167, 0.000), I at (0.000, 0.000, 0.500), I at (0.000, 0.343, 0.500) and Br at (0.000, 0.500, 0.000).

For the density of states at the Fermi level, the calculation gives 18.67 states/eV per cell. As for the calculated total energy: -3.5880 eV/atom. The value obtained for the magnetic moment is 0.01 μB per formula unit.


No. 24
A plane-wave DFT calculation with PBE-GGA was carried out for a relaxed structure of Te2PtIBr.

The space group is P4/mmm (No. 123) and the conventional cell measures 5.600, 5.600 and 5.633 Å, with angles of 90.00, 90.00 and 90.00 degrees. The inequivalent atoms are Te at (0.000, 0.500, 0.000), Pt at (0.000, 0.000, 0.500), I at (0.500, 0.500, 0.500) and Br at (0.500, 0.500, 0.000).

For the density of states at the Fermi level, the calculation gives 9.28 states/eV per cell. As for the relative energy among the computed polymorphs: 1163 meV/atom. The value obtained for the magnetic moment is 1.97 μB per formula unit.